(1)
# PBE EuSi2Pt, optimized geometry
data_EuSi2Pt
_chemical_formula_sum 'Eu2 Si4 Pt2'
_cell_length_a 8.812
_cell_length_b 8.812
_cell_length_c 4.176
_cell_angle_alpha 90.00
_cell_angle_beta 90.00
_cell_angle_gamma 151.51
_symmetry_space_group_name_H-M 'P 1'
_symmetry_Int_Tables_number 1
loop_
_symmetry_equiv_pos_as_xyz
'x,y,z'
loop_
_atom_site_label
_atom_site_type_symbol
_atom_site_fract_x
_atom_site_fract_y
_atom_site_fract_z
Eu1 Eu 0.104 0.896 0.750
Eu2 Eu 0.896 0.104 0.250
Si1 Si 0.248 0.752 0.250
Si2 Si 0.463 0.537 0.750
Si3 Si 0.537 0.463 0.250
Si4 Si 0.752 0.248 0.750
Pt1 Pt 0.321 0.679 0.750
Pt2 Pt 0.679 0.321 0.250
# - Crystal system: orthorhombic
# - Energy relative to the elements, uncorrected: -873 meV/atom

***

(2)
# PBE AlCdIn, optimized geometry
data_AlCdIn
_chemical_formula_sum 'Al4 Cd4 In4'
_cell_length_a 6.836
_cell_length_b 5.920
_cell_length_c 6.891
_cell_angle_alpha 90.00
_cell_angle_beta 90.00
_cell_angle_gamma 90.00
_symmetry_space_group_name_H-M 'P 1'
_symmetry_Int_Tables_number 1
loop_
_symmetry_equiv_pos_as_xyz
'x,y,z'
loop_
_atom_site_label
_atom_site_type_symbol
_atom_site_fract_x
_atom_site_fract_y
_atom_site_fract_z
Al1 Al 0.000 0.000 0.000
Al2 Al 0.000 0.500 0.000
Al3 Al 0.500 0.000 0.500
Al4 Al 0.500 0.500 0.500
Cd1 Cd 0.188 0.250 0.315
Cd2 Cd 0.312 0.750 0.815
Cd3 Cd 0.688 0.250 0.185
Cd4 Cd 0.812 0.750 0.685
In1 In 0.121 0.750 0.368
In2 In 0.379 0.250 0.868
In3 In 0.621 0.750 0.132
In4 In 0.879 0.250 0.632
# - DFT formation energy: 0.1273 eV/atom
# - Crystal system: orthorhombic

***

(3)
# PBE Cs2RbInI6, optimized geometry
data_Cs2RbInI6
_chemical_formula_sum 'Cs2 Rb1 In1 I6'
_cell_length_a 9.088
_cell_length_b 9.088
_cell_length_c 9.088
_cell_angle_alpha 60.00
_cell_angle_beta 60.00
_cell_angle_gamma 60.00
_symmetry_space_group_name_H-M 'P 1'
_symmetry_Int_Tables_number 1
loop_
_symmetry_equiv_pos_as_xyz
'x,y,z'
loop_
_atom_site_label
_atom_site_type_symbol
_atom_site_fract_x
_atom_site_fract_y
_atom_site_fract_z
Cs1 Cs 0.250 0.250 0.250
Cs2 Cs 0.750 0.750 0.750
Rb1 Rb 0.000 0.000 0.000
In1 In 0.500 0.500 0.500
I1 I 0.271 0.271 0.729
I2 I 0.271 0.729 0.271
I3 I 0.271 0.729 0.729
I4 I 0.729 0.271 0.271
I5 I 0.729 0.271 0.729
I6 I 0.729 0.729 0.271
# - Crystal system: cubic
# - Energy relative to the elements, uncorrected: -1085 meV/atom

***

(4)
# PBE Tb4As3, optimized geometry
data_Tb4As3
_chemical_formula_sum 'Tb4 As3'
_cell_length_a 13.177
_cell_length_b 13.177
_cell_length_c 13.177
_cell_angle_alpha 17.97
_cell_angle_beta 17.97
_cell_angle_gamma 17.97
_symmetry_space_group_name_H-M 'P 1'
_symmetry_Int_Tables_number 1
loop_
_symmetry_equiv_pos_as_xyz
'x,y,z'
loop_
_atom_site_label
_atom_site_type_symbol
_atom_site_fract_x
_atom_site_fract_y
_atom_site_fract_z
Tb1 Tb 0.125 0.125 0.125
Tb2 Tb 0.373 0.373 0.373
Tb3 Tb 0.627 0.627 0.627
Tb4 Tb 0.875 0.875 0.875
As1 As 0.254 0.254 0.254
As2 As 0.500 0.500 0.500
As3 As 0.746 0.746 0.746
# - DFT formation energy: -1.2690 eV/atom
# - Crystal system: trigonal
# - Distance to the lowest polymorph of the same formula: 0 kJ/mol of formula units

***

(5)
# PBE AcPu2Rh, optimized geometry
data_AcPu2Rh
_chemical_formula_sum 'Ac1 Pu2 Rh1'
_cell_length_a 3.648
_cell_length_b 3.648
_cell_length_c 8.107
_cell_angle_alpha 90.00
_cell_angle_beta 90.00
_cell_angle_gamma 90.00
_symmetry_space_group_name_H-M 'P 1'
_symmetry_Int_Tables_number 1
loop_
_symmetry_equiv_pos_as_xyz
'x,y,z'
loop_
_atom_site_label
_atom_site_type_symbol
_atom_site_fract_x
_atom_site_fract_y
_atom_site_fract_z
Ac1 Ac 0.000 0.000 0.000
Pu1 Pu 0.500 0.500 0.315
Pu2 Pu 0.500 0.500 0.685
Rh1 Rh 0.000 0.000 0.500
# - DFT formation energy: -0.0927 eV/atom
# - Crystal system: tetragonal
# - Distance to the lowest polymorph of the same formula: 0 kJ/mol of formula units

***

(6)
# PBE Hf2GeRh5, optimized geometry
data_Hf2GeRh5
_chemical_formula_sum 'Hf4 Ge2 Rh10'
_cell_length_a 5.571
_cell_length_b 10.935
_cell_length_c 4.047
_cell_angle_alpha 90.00
_cell_angle_beta 90.00
_cell_angle_gamma 90.00
_symmetry_space_group_name_H-M 'P 1'
_symmetry_Int_Tables_number 1
loop_
_symmetry_equiv_pos_as_xyz
'x,y,z'
loop_
_atom_site_label
_atom_site_type_symbol
_atom_site_fract_x
_atom_site_fract_y
_atom_site_fract_z
Hf1 Hf 0.182 0.140 0.000
Hf2 Hf 0.318 0.640 0.000
Hf3 Hf 0.682 0.360 0.000
Hf4 Hf 0.818 0.860 0.000
Ge1 Ge 0.000 0.500 0.500
Ge2 Ge 0.500 0.000 0.500
Rh1 Rh 0.000 0.000 0.500
Rh2 Rh 0.064 0.744 0.500
Rh3 Rh 0.191 0.392 0.000
Rh4 Rh 0.309 0.892 0.000
Rh5 Rh 0.436 0.244 0.500
Rh6 Rh 0.500 0.500 0.500
Rh7 Rh 0.564 0.756 0.500
Rh8 Rh 0.691 0.108 0.000
Rh9 Rh 0.809 0.608 0.000
Rh10 Rh 0.936 0.256 0.500
# - DFT formation energy: -0.9223 eV/atom
# - Crystal system: orthorhombic

***

(7)
# PBE Y2HoSc, optimized geometry
data_Y2HoSc
_chemical_formula_sum 'Y2 Ho1 Sc1'
_cell_length_a 11.484
_cell_length_b 11.484
_cell_length_c 11.484
_cell_angle_alpha 17.52
_cell_angle_beta 17.52
_cell_angle_gamma 17.52
_symmetry_space_group_name_H-M 'P 1'
_symmetry_Int_Tables_number 1
loop_
_symmetry_equiv_pos_as_xyz
'x,y,z'
loop_
_atom_site_label
_atom_site_type_symbol
_atom_site_fract_x
_atom_site_fract_y
_atom_site_fract_z
Y1 Y 0.247 0.247 0.247
Y2 Y 0.753 0.753 0.753
Ho1 Ho 0.000 0.000 0.000
Sc1 Sc 0.500 0.500 0.500
# - DFT formation energy: 0.0534 eV/atom
# - Crystal system: trigonal
# - Distance to the lowest polymorph of the same formula: 11 kJ/mol of formula units

***

(8)
# PBE Li4GaPb, optimized geometry
data_Li4GaPb
_chemical_formula_sum 'Li4 Ga1 Pb1'
_cell_length_a 3.033
_cell_length_b 4.631
_cell_length_c 7.907
_cell_angle_alpha 90.00
_cell_angle_beta 91.10
_cell_angle_gamma 90.00
_symmetry_space_group_name_H-M 'P 1'
_symmetry_Int_Tables_number 1
loop_
_symmetry_equiv_pos_as_xyz
'x,y,z'
loop_
_atom_site_label
_atom_site_type_symbol
_atom_site_fract_x
_atom_site_fract_y
_atom_site_fract_z
Li1 Li 0.000 0.000 0.000
Li2 Li 0.028 0.500 0.519
Li3 Li 0.228 0.500 0.166
Li4 Li 0.291 0.000 0.681
Ga1 Ga 0.633 0.500 0.843
Pb1 Pb 0.635 0.000 0.340
# - DFT formation energy: -0.2378 eV/atom
# - Crystal system: monoclinic
# - Distance to the lowest polymorph of the same formula: 0 kJ/mol of formula units

***

(9)
# PBE LiCeSi2Ni2, optimized geometry
data_LiCeSi2Ni2
_chemical_formula_sum 'Li1 Ce1 Si2 Ni2'
_cell_length_a 3.969
_cell_length_b 3.969
_cell_length_c 6.724
_cell_angle_alpha 90.00
_cell_angle_beta 90.00
_cell_angle_gamma 120.00
_symmetry_space_group_name_H-M 'P 1'
_symmetry_Int_Tables_number 1
loop_
_symmetry_equiv_pos_as_xyz
'x,y,z'
loop_
_atom_site_label
_atom_site_type_symbol
_atom_site_fract_x
_atom_site_fract_y
_atom_site_fract_z
Li1 Li 0.000 0.000 0.000
Ce1 Ce 0.000 0.000 0.500
Si1 Si 0.333 0.667 0.788
Si2 Si 0.667 0.333 0.212
Ni1 Ni 0.333 0.667 0.133
Ni2 Ni 0.667 0.333 0.867
# - Crystal system: trigonal
# - Energy relative to the elements, uncorrected: -642 meV/atom

***

(10)
# PBE TmCd3Pd, optimized geometry
data_TmCd3Pd
_chemical_formula_sum 'Tm4 Cd12 Pd4'
_cell_length_a 9.445
_cell_length_b 4.017
_cell_length_c 11.835
_cell_angle_alpha 90.00
_cell_angle_beta 90.00
_cell_angle_gamma 90.00
_symmetry_space_group_name_H-M 'P 1'
_symmetry_Int_Tables_number 1
loop_
_symmetry_equiv_pos_as_xyz
'x,y,z'
loop_
_atom_site_label
_atom_site_type_symbol
_atom_site_fract_x
_atom_site_fract_y
_atom_site_fract_z
Tm1 Tm 0.187 0.250 0.008
Tm2 Tm 0.313 0.750 0.508
Tm3 Tm 0.687 0.250 0.492
Tm4 Tm 0.813 0.750 0.992
Cd1 Cd 0.047 0.250 0.410
Cd2 Cd 0.060 0.750 0.203
Cd3 Cd 0.179 0.750 0.795
Cd4 Cd 0.321 0.250 0.295
Cd5 Cd 0.440 0.250 0.703
Cd6 Cd 0.453 0.750 0.910
Cd7 Cd 0.547 0.250 0.090
Cd8 Cd 0.560 0.750 0.297
Cd9 Cd 0.679 0.750 0.705
Cd10 Cd 0.821 0.250 0.205
Cd11 Cd 0.940 0.250 0.797
Cd12 Cd 0.953 0.750 0.590
Pd1 Pd 0.163 0.250 0.629
Pd2 Pd 0.337 0.750 0.129
Pd3 Pd 0.663 0.250 0.871
Pd4 Pd 0.837 0.750 0.371
# - DFT formation energy: -0.3548 eV/atom
# - Crystal system: orthorhombic
# - Distance to the lowest polymorph of the same formula: 0 kJ/mol of formula units

***

(11)
# PBE HoTaGa4, optimized geometry
data_HoTaGa4
_chemical_formula_sum 'Ho1 Ta1 Ga4'
_cell_length_a 5.289
_cell_length_b 5.289
_cell_length_c 5.289
_cell_angle_alpha 60.00
_cell_angle_beta 60.00
_cell_angle_gamma 60.00
_symmetry_space_group_name_H-M 'P 1'
_symmetry_Int_Tables_number 1
loop_
_symmetry_equiv_pos_as_xyz
'x,y,z'
loop_
_atom_site_label
_atom_site_type_symbol
_atom_site_fract_x
_atom_site_fract_y
_atom_site_fract_z
Ho1 Ho 0.000 0.000 0.000
Ta1 Ta 0.750 0.750 0.750
Ga1 Ga 0.375 0.375 0.375
Ga2 Ga 0.375 0.375 0.874
Ga3 Ga 0.375 0.874 0.375
Ga4 Ga 0.874 0.375 0.375
# - DFT formation energy: -0.2424 eV/atom
# - Crystal system: cubic

***

Q: Which E_tot values were calculated for the entries above? A: -7.664 -2.338 -2.557 -5.908 -10.124 -8.583 -5.906 -2.636 -5.685 -2.837 -4.999, in eV/atom.